The following is a PBE calculation of a relaxed Zn2SnHg2 crystal, from Alexandria via LeMat-Bulk.

The structure in POSCAR format:
```
Zn2SnHg2
1.0
-1.487 3.783 1.216
-3.454 -1.872 1.601
0.419 0.324 6.906
Zn Hg Sn
2 2 1
Direct
0.402 0.402 0.195
0.598 0.598 0.805
0.750 0.250 0.500
0.250 0.750 0.500
0.000 0.000 0.000
```

Properties
- E_form (eV per atom) = 0.152
- M_tot (μB/cell) = 0.000
- polymorph energy (0 for the lowest one) (meV per atom) = 30
- D(E_F) (states/eV per atom) = 0.43
- space-group type = No. 139
- raw total energy (eV/atom) = -1.28